No. 1
# FeTe3PbAu (PBE, relaxed)
data_FeTe3PbAu
_chemical_formula_sum 'Fe2 Te6 Pb2 Au2'
_cell_length_a 11.4696
_cell_length_b 3.1826
_cell_length_c 9.3106
_cell_angle_alpha 90.00
_cell_angle_beta 90.00
_cell_angle_gamma 90.00
_space_group_name_H-M_alt 'P m m a'
_space_group_IT_number 51
_space_group_name_Hall '-P 2a 2a'
loop_
_atom_site_label
_atom_site_type_symbol
_atom_site_fract_x
_atom_site_fract_y
_atom_site_fract_z
Fe1 Fe 0.0000 0.0000 0.0000
Te1 Te 0.0148 0.0000 0.2769
Te2 Te 0.2500 0.0000 0.9732
Pb1 Pb 0.2500 0.0000 0.6131
Au1 Au 0.2500 0.0000 0.3005
# V	170	Å³/f.u.
# magnetic moment	2.9	μB per formula unit
# raw total energy	-47.89	eV per cell

No. 2
# AcNpTe (PBE, relaxed)
data_AcNpTe
_chemical_formula_sum 'Ac4 Np4 Te4'
_cell_length_a 7.8346
_cell_length_b 7.8346
_cell_length_c 7.8346
_cell_angle_alpha 90.00
_cell_angle_beta 90.00
_cell_angle_gamma 90.00
_space_group_name_H-M_alt 'F -4 3 m'
_space_group_IT_number 216
_space_group_name_Hall 'F -4 2 3'
loop_
_atom_site_label
_atom_site_type_symbol
_atom_site_fract_x
_atom_site_fract_y
_atom_site_fract_z
Ac1 Ac 0.0000 0.0000 0.0000
Np1 Np 0.2500 0.2500 0.7500
Te1 Te 0.2500 0.2500 0.2500
# V	120	Å³/f.u.
# magnetic moment	7.1	μB per formula unit
# raw total energy	-73.75	eV per cell
# relative energy among the computed polymorphs	158	kJ/mol of formula units

No. 3
# KAgB (PBE, relaxed)
data_KAgB
_chemical_formula_sum 'K4 Ag4 B4'
_cell_length_a 6.5472
_cell_length_b 6.5472
_cell_length_c 6.5472
_cell_angle_alpha 90.00
_cell_angle_beta 90.00
_cell_angle_gamma 90.00
_space_group_name_H-M_alt 'F -4 3 m'
_space_group_IT_number 216
_space_group_name_Hall 'F -4 2 3'
loop_
_atom_site_label
_atom_site_type_symbol
_atom_site_fract_x
_atom_site_fract_y
_atom_site_fract_z
K1 K 0.0000 0.0000 0.0000
Ag1 Ag 0.0000 0.0000 0.5000
B1 B 0.2500 0.2500 0.7500
# V	70	Å³/f.u.
# raw total energy	-26.45	eV per cell
# relative energy among the computed polymorphs	0	kJ/mol of formula units

No. 4
# RbAsPd (PBE, relaxed)
data_RbAsPd
_chemical_formula_sum 'Rb4 As4 Pd4'
_cell_length_a 6.8781
_cell_length_b 6.8781
_cell_length_c 6.8781
_cell_angle_alpha 90.00
_cell_angle_beta 90.00
_cell_angle_gamma 90.00
_space_group_name_H-M_alt 'F -4 3 m'
_space_group_IT_number 216
_space_group_name_Hall 'F -4 2 3'
loop_
_atom_site_label
_atom_site_type_symbol
_atom_site_fract_x
_atom_site_fract_y
_atom_site_fract_z
Rb1 Rb 0.0000 0.0000 0.0000
As1 As 0.0000 0.0000 0.5000
Pd1 Pd 0.2500 0.2500 0.7500
# V	81	Å³/f.u.
# raw total energy	-39.19	eV per cell
# relative energy among the computed polymorphs	0	kJ/mol of formula units